1.
Entry from the Alexandria database: an optimized crystal structure of SiAs2Se (PBE-GGA).

abc: 6.5283 6.5283 6.4583
angles: 59.64 59.64 90.00
Closest atoms and distances in Å follow each position.
Element x y z (fractional)
Se (0.0000, 0.0000, 0.0000)  4 As 2.73
Se (0.7500, 0.2500, 0.5000)  4 As 2.73
As (0.1614, 0.6250, 0.2500)  2 Si 2.43
As (0.3750, 0.4114, 0.7500)  2 Si 2.43
As (0.5886, 0.1250, 0.2500)  2 Si 2.43
As (0.8750, 0.8386, 0.7500)  2 Si 2.43
Si (0.5000, 0.5000, 0.0000)  4 As 2.43
Si (0.2500, 0.7500, 0.5000)  4 As 2.43

Properties
final energy: -34.4 eV for the cell shown
ΔE_f (raw): 0.25 eV per atom


2.
Entry from the Alexandria database: an optimized crystal structure of SiAs2Se (PBE-GGA).

abc: 4.8017 4.8017 3.2427
angles: 90.00 90.00 90.00
Closest atoms and distances in Å follow each position.
Element x y z (fractional)
As (0.0000, 0.0000, 0.0000)  4 Se 2.90, 4 Si 2.90, 2 As 3.24
As (0.5000, 0.5000, 0.0000)  4 Se 2.90, 4 Si 2.90, 2 As 3.24
Se (0.5000, 0.0000, 0.5000)  8 As 2.90, 2 Se 3.24
Si (0.0000, 0.5000, 0.5000)  8 As 2.90, 2 Si 3.24

Properties
final energy: -16.2 eV for the cell shown
ΔE_f (raw): 0.49 eV per atom


3.
Entry from the Alexandria database: an optimized crystal structure of SiAs2Se (PBE-GGA).

abc: 6.7483 6.7483 6.7483
angles: 32.55 32.55 32.55
Closest atoms and distances in Å follow each position.
Element x y z (fractional)
As (0.0110, 0.0110, 0.0110)  3 Si 2.59, 3 Se 2.83
As (0.4890, 0.4890, 0.4890)  3 Si 2.59, 3 Se 2.83
Si (0.7500, 0.7500, 0.7500)  6 As 2.59
Se (0.2500, 0.2500, 0.2500)  6 As 2.83

Properties
final energy: -17.7 eV for the cell shown
ΔE_f (raw): 0.13 eV per atom


4.
Entry from the Alexandria database: an optimized crystal structure of SiAs2Se (PBE-GGA).

abc: 5.4516 3.8233 3.8614
angles: 90.01 90.00 90.00
Closest atoms and distances in Å follow each position.
Element x y z (fractional)
As (0.5000, 0.1251, 0.1095)  4 Si 2.60-2.84, 2 As 2.73
As (0.0000, 0.1250, 0.1256)  4 Se 2.68-2.76, 2 As 2.73
Si (0.5000, 0.6248, 0.6534)  4 As 2.60-2.84, 2 Se 2.73
Se (0.0000, 0.6251, 0.6114)  4 As 2.68-2.76, 2 Si 2.73

Properties
final energy: -17.7 eV for the cell shown
ΔE_f (raw): 0.13 eV per atom


5.
Entry from the Alexandria database: an optimized crystal structure of SiAsSe2 (PBE-GGA).

abc: 6.8827 6.8827 4.0522
angles: 91.04 91.04 30.15
Closest atoms and distances in Å follow each position.
Element x y z (fractional)
Si (0.4721, 0.4721, 0.4399)  2 Se 2.40, 1 As 2.48
Se (0.7283, 0.7283, 0.6771)  2 As 2.46
Se (0.0111, 0.0111, 0.0679)  2 Si 2.40
As (0.2885, 0.2885, 0.3150)  2 Se 2.46, 1 Si 2.48

Properties
final energy: -17.1 eV for the cell shown
ΔE_f (raw): -0.01 eV per atom


6.
Entry from the Alexandria database: an optimized crystal structure of SiAsSe2 (PBE-GGA).

abc: 3.8175 2.7364 8.3147
angles: 108.98 90.00 90.00
Closest atoms and distances in Å follow each position.
Element x y z (fractional)
Se (0.0000, 0.0154, 0.0149)  2 Si 2.66, 2 Se 2.74, 2 As 2.83
Se (0.0000, 0.4846, 0.4851)  2 Si 2.66, 2 Se 2.74, 2 As 2.83
As (0.5000, 0.7500, 0.7500)  2 As 2.74, 4 Se 2.83
Si (0.5000, 0.2500, 0.2500)  4 Se 2.66, 2 Si 2.74

Properties
final energy: -16.5 eV for the cell shown
ΔE_f (raw): 0.14 eV per atom


7.
Entry from the Alexandria database: an optimized crystal structure of SiAs2Se (PBE-GGA).

abc: 7.5915 7.5915 7.5915
angles: 152.36 152.36 39.49
Closest atoms and distances in Å follow each position.
Element x y z (fractional)
As (0.0000, 0.0000, 0.0000)  4 Se 2.56
As (0.2500, 0.7500, 0.5000)  4 Si 2.56
Si (0.7500, 0.2500, 0.5000)  4 As 2.56
Se (0.5000, 0.5000, 0.0000)  4 As 2.56

Properties
final energy: -16.3 eV for the cell shown
ΔE_f (raw): 0.49 eV per atom


8.
Entry from the Alexandria database: an optimized crystal structure of SiAs2Se (PBE-GGA).

abc: 4.7388 4.7388 4.7388
angles: 60.00 60.00 60.00
Closest atoms and distances in Å follow each position.
Element x y z (fractional)
Si (0.7500, 0.7500, 0.7500)  4 Se 2.90, 4 As 2.90
Se (0.5000, 0.5000, 0.5000)  4 As 2.90, 4 Si 2.90
As (0.0000, 0.0000, 0.0000)  4 As 2.90, 4 Si 2.90
As (0.2500, 0.2500, 0.2500)  4 As 2.90, 4 Se 2.90

Properties
final energy: -16.2 eV for the cell shown
ΔE_f (raw): 0.50 eV per atom


9.
Entry from the Alexandria database: an optimized crystal structure of SiAs3Se (PBE-GGA).

abc: 4.7788 4.7788 4.7788
angles: 90.00 90.00 90.00
Closest atoms and distances in Å follow each position.
Element x y z (fractional)
Se (0.5000, 0.5000, 0.5000)  12 As 3.38
Si (0.0000, 0.0000, 0.0000)  6 As 2.39
As (0.0000, 0.5000, 0.0000)  2 Si 2.39
As (0.5000, 0.0000, 0.0000)  2 Si 2.39
As (0.0000, 0.0000, 0.5000)  2 Si 2.39

Properties
final energy: -19.2 eV for the cell shown
ΔE_f (raw): 0.73 eV per atom


10.
Entry from the Alexandria database: an optimized crystal structure of SiAs2Se (PBE-GGA).

abc: 4.7293 4.7293 4.7293
angles: 60.00 60.00 60.00
Closest atoms and distances in Å follow each position.
Element x y z (fractional)
As (0.2500, 0.2500, 0.2500)  4 Se 2.90, 4 Si 2.90
As (0.7500, 0.7500, 0.7500)  4 Se 2.90, 4 Si 2.90
Si (0.0000, 0.0000, 0.0000)  8 As 2.90
Se (0.5000, 0.5000, 0.5000)  8 As 2.90

Properties
final energy: -16.1 eV for the cell shown
ΔE_f (raw): 0.54 eV per atom


11.
Entry from the Alexandria database: an optimized crystal structure of SiAs2Se (PBE-GGA).

abc: 3.2950 4.7099 4.8251
angles: 90.00 90.00 90.00
Closest atoms and distances in Å follow each position.
Element x y z (fractional)
Si (0.0000, 0.5000, 0.5000)  4 Se 2.87, 4 As 2.92
As (0.0000, 0.0000, 0.0000)  4 As 2.87, 4 Se 2.92
As (0.5000, 0.5000, 0.0000)  4 As 2.87, 4 Si 2.92
Se (0.5000, 0.0000, 0.5000)  4 Si 2.87, 4 As 2.92

Properties
final energy: -16.3 eV for the cell shown
ΔE_f (raw): 0.48 eV per atom


12.
Entry from the Alexandria database: an optimized crystal structure of SiAs2Se (PBE-GGA).

abc: 2.7925 2.7925 10.2796
angles: 90.00 90.00 103.83
Closest atoms and distances in Å follow each position.
Element x y z (fractional)
As (0.0000, 0.0000, 0.5481)  2 Si 2.70, 4 As 2.79
As (0.0000, 0.0000, 0.9519)  2 Si 2.70, 4 As 2.79
Se (0.5000, 0.5000, 0.2500)  4 Se 2.79
Si (0.5000, 0.5000, 0.7500)  4 As 2.70, 4 Si 2.79

Properties
final energy: -16.5 eV for the cell shown
ΔE_f (raw): 0.43 eV per atom


What polymorph energy (0 for the lowest one) values result from the calculations? In sequence: 0.3086, 0.5479, 0.1869, 0.1856, 0.0000, 0.1453, 0.5456, 0.5628, 0.0000, 0.5930, 0.5330, 0.4912 eV per atom.